The following is a PBE calculation of crystalline DyEr7Tl4 at its relaxed geometry, from the Alexandria database.

a b c (Å): 7.9706 7.9706 9.7020
angles (deg): 119.20 119.20 42.19
Closest atoms and distances in Å follow each position.
Element x y z (fractional)
Dy  0.0000  0.0000  0.0000  2 Er 2.87
Er  0.0691  0.0691  0.4086  3 Tl 3.17-3.24, 3 Er 3.34-3.53, 1 Dy 3.54
Er  0.2040  0.2040  0.8787  3 Tl 3.28-3.50, 5 Er 3.50-3.57
Er  0.2566  0.2566  0.3029  4 Tl 2.97-3.14
Er  0.5000  0.5000  0.0000  2 Dy 2.87, 2 Tl 2.98
Er  0.7434  0.7434  0.6971  4 Tl 2.97-3.14
Er  0.7960  0.7960  0.1213  3 Tl 3.28-3.50, 5 Er 3.50-3.57
Er  0.9309  0.9309  0.5914  3 Tl 3.17-3.24, 3 Er 3.34-3.53, 1 Dy 3.54
Tl  0.3150  0.3150  0.6623  6 Er 2.98-3.28, 1 Tl 3.25
Tl  0.4514  0.4514  0.2882  4 Er 2.97-3.24, 1 Tl 3.25
Tl  0.5486  0.5486  0.7118  4 Er 2.97-3.24, 1 Tl 3.25
Tl  0.6850  0.6850  0.3377  6 Er 2.98-3.28, 1 Tl 3.25

Computed properties:
Formation energy (kJ/mol of formula units): 10
Theoretical density (Mg/m³): 10.122